1.
Computed, not measured: Pm3HoPa2P6 after structural relaxation at the PBE-GGA level of DFT.

Cell lengths 6.997, 12.118, 7.025 Å; angles 90.00, 109.38, 90.00 degrees
Space group C2/m (No. 12)
Asymmetric unit:
1 Pm 0.000 0.000 0.000 [2 per cell]
2 Pm 0.000 0.334 0.000 [4 per cell]
3 Ho 0.000 0.500 0.500 [2 per cell]
4 Pa 0.000 0.167 0.500 [4 per cell]
5 P 0.242 0.000 0.737 [4 per cell]
6 P 0.247 0.331 0.736 [8 per cell]

Summary:
The total moment is 0.00 Bohr magnetons per cell. For the density of states at the Fermi level, the calculation gives 17.13 states/eV/cell. The value obtained for the total energy is -0.2704 Ha/atom.

2.
Computed, not measured: PrHo2PaP4 after structural relaxation at the PBE-GGA level of DFT.

Cell lengths 6.943, 4.036, 7.002 Å; angles 90.00, 109.48, 90.00 degrees
Space group P2/m (No. 10)
Asymmetric unit:
1 Pr 0.000 0.000 0.000 [1 per cell]
2 Ho 0.500 0.000 0.500 [1 per cell]
3 Ho 0.500 0.500 0.000 [1 per cell]
4 Pa 0.000 0.500 0.500 [1 per cell]
5 P 0.251 0.000 0.742 [2 per cell]
6 P 0.255 0.500 0.263 [2 per cell]

Summary:
The total moment is 0.00 Bohr magnetons per cell. For the density of states at the Fermi level, the calculation gives 4.90 states/eV/cell. The value obtained for the total energy is -0.2624 Ha/atom.

3.
Computed, not measured: PrHoPa2P4 after structural relaxation at the PBE-GGA level of DFT.

Cell lengths 6.972, 4.023, 6.975 Å; angles 90.00, 109.44, 90.00 degrees
Space group P2/m (No. 10)
Asymmetric unit:
1 Pr 0.000 0.000 0.000 [1 per cell]
2 Ho 0.500 0.500 0.000 [1 per cell]
3 Pa 0.000 0.500 0.500 [1 per cell]
4 Pa 0.500 0.000 0.500 [1 per cell]
5 P 0.253 0.000 0.741 [2 per cell]
6 P 0.261 0.500 0.264 [2 per cell]

Summary:
The total moment is 0.00 Bohr magnetons per cell. For the density of states at the Fermi level, the calculation gives 6.58 states/eV/cell. The value obtained for the total energy is -0.2820 Ha/atom.

4.
Computed, not measured: Pr2HoPaP4 after structural relaxation at the PBE-GGA level of DFT.

Cell lengths 7.035, 4.084, 7.106 Å; angles 90.00, 109.38, 90.00 degrees
Space group P2/m (No. 10)
Asymmetric unit:
1 Pr 0.000 0.000 0.000 [1 per cell]
2 Pr 0.500 0.500 0.000 [1 per cell]
3 Ho 0.000 0.500 0.500 [1 per cell]
4 Pa 0.500 0.000 0.500 [1 per cell]
5 P 0.249 0.000 0.733 [2 per cell]
6 P 0.259 0.500 0.268 [2 per cell]

Summary:
The total moment is 0.00 Bohr magnetons per cell. For the density of states at the Fermi level, the calculation gives 4.56 states/eV/cell. The value obtained for the total energy is -0.2631 Ha/atom.

5.
Computed, not measured: HoPu2PaP4 after structural relaxation at the PBE-GGA level of DFT.

Cell lengths 6.889, 4.001, 6.905 Å; angles 90.00, 109.78, 90.00 degrees
Space group P2/m (No. 10)
Asymmetric unit:
1 Ho 0.000 0.000 0.000 [1 per cell]
2 Pu 0.500 0.000 0.500 [1 per cell]
3 Pu 0.500 0.500 0.000 [1 per cell]
4 Pa 0.000 0.500 0.500 [1 per cell]
5 P 0.247 0.000 0.749 [2 per cell]
6 P 0.249 0.500 0.254 [2 per cell]

Summary:
The total moment is 0.28 Bohr magnetons per cell. For the density of states at the Fermi level, the calculation gives 23.52 states/eV/cell. The value obtained for the total energy is -0.3440 Ha/atom.

6.
Computed, not measured: Ho2PuPaP4 after structural relaxation at the PBE-GGA level of DFT.

Cell lengths 6.884, 3.992, 6.894 Å; angles 90.00, 109.58, 90.00 degrees
Space group P2/m (No. 10)
Asymmetric unit:
1 Ho 0.000 0.000 0.000 [1 per cell]
2 Ho 0.000 0.500 0.500 [1 per cell]
3 Pu 0.500 0.000 0.500 [1 per cell]
4 Pa 0.500 0.500 0.000 [1 per cell]
5 P 0.252 0.000 0.753 [2 per cell]
6 P 0.253 0.500 0.249 [2 per cell]

Summary:
The total moment is 5.56 Bohr magnetons per cell. For the density of states at the Fermi level, the calculation gives 10.90 states/eV/cell. The value obtained for the total energy is -0.3038 Ha/atom.

7.
Computed, not measured: Ho2Pu3PaP6 after structural relaxation at the PBE-GGA level of DFT.

Cell lengths 6.924, 11.992, 6.886 Å; angles 90.00, 109.58, 90.00 degrees
Space group C2/m (No. 12)
Asymmetric unit:
1 Ho 0.000 0.166 0.000 [4 per cell]
2 Pu 0.000 0.000 0.500 [2 per cell]
3 Pu 0.000 0.332 0.500 [4 per cell]
4 Pa 0.000 0.500 0.000 [2 per cell]
5 P 0.246 0.500 0.750 [4 per cell]
6 P 0.248 0.335 0.250 [8 per cell]

Summary:
The total moment is 31.62 Bohr magnetons per cell. For the density of states at the Fermi level, the calculation gives 54.87 states/eV/cell. The value obtained for the total energy is -0.3378 Ha/atom.

8.
Computed, not measured: Ho3PaP2Rh9 after structural relaxation at the PBE-GGA level of DFT.

Cell lengths 5.9870, 5.9870, 9.4568 Å; angles 90.00, 90.00, 120.00 degrees
Space group P-3m1 (No. 164)
Asymmetric unit:
1 Ho 0.0000 0.0000 0.0000 [1 per cell]
2 Ho 0.3333 0.6667 0.7238 [2 per cell]
3 Pa 0.0000 0.0000 0.5000 [1 per cell]
4 P 0.3333 0.6667 0.1568 [2 per cell]
5 Rh 0.0000 0.5000 0.0000 [3 per cell]
6 Rh 0.1523 0.3046 0.2798 [6 per cell]

Summary:
The total moment is 0.00 Bohr magnetons per cell. For the density of states at the Fermi level, the calculation gives 5.32 states/eV/cell. The value obtained for the total energy is -0.2719 Ha/atom.

9.
Computed, not measured: HoSc2PaP4 after structural relaxation at the PBE-GGA level of DFT.

Cell lengths 6.654, 3.885, 6.720 Å; angles 90.00, 109.65, 90.00 degrees
Space group P2/m (No. 10)
Asymmetric unit:
1 Ho 0.000 0.000 0.000 [1 per cell]
2 Sc 0.500 0.000 0.500 [1 per cell]
3 Sc 0.500 0.500 0.000 [1 per cell]
4 Pa 0.000 0.500 0.500 [1 per cell]
5 P 0.262 0.500 0.257 [2 per cell]
6 P 0.263 0.000 0.754 [2 per cell]

Summary:
The total moment is 0.00 Bohr magnetons per cell. For the density of states at the Fermi level, the calculation gives 4.55 states/eV/cell. The value obtained for the total energy is -0.2765 Ha/atom.

10.
Computed, not measured: HoPaPSe after structural relaxation at the PBE-GGA level of DFT.

Cell lengths 3.8947, 3.8947, 21.3468 Å; angles 90.00, 90.00, 120.00 degrees
Space group R3m (No. 160, hexagonal axes)
Asymmetric unit:
1 Ho 0.0000 0.0000 0.0000 [3 per cell]
2 Pa 0.0000 0.0000 0.8151 [3 per cell]
3 P 0.0000 0.0000 0.4069 [3 per cell]
4 Se 0.0000 0.0000 0.2407 [3 per cell]

Summary:
Its uncorrected formation energy is -1.4280 eV/atom. The total moment is 2.47 Bohr magnetons per cell. For the density of states at the Fermi level, the calculation gives 12.01 states/eV/cell.

11.
Computed, not measured: Sm2HoPaP4 after structural relaxation at the PBE-GGA level of DFT.

Cell lengths 6.967, 4.040, 7.004 Å; angles 90.00, 109.43, 90.00 degrees
Space group P2/m (No. 10)
Asymmetric unit:
1 Sm 0.000 0.000 0.000 [1 per cell]
2 Sm 0.500 0.500 0.000 [1 per cell]
3 Ho 0.000 0.500 0.500 [1 per cell]
4 Pa 0.500 0.000 0.500 [1 per cell]
5 P 0.251 0.000 0.739 [2 per cell]
6 P 0.256 0.500 0.261 [2 per cell]

Summary:
The total moment is 0.00 Bohr magnetons per cell. For the density of states at the Fermi level, the calculation gives 4.57 states/eV/cell. The value obtained for the total energy is -0.2637 Ha/atom.

12.
Computed, not measured: SmHo2Pa3P6 after structural relaxation at the PBE-GGA level of DFT.

Cell lengths 6.914, 11.976, 6.909 Å; angles 90.00, 109.50, 90.00 degrees
Space group C2/m (No. 12)
Asymmetric unit:
1 Sm 0.000 0.000 0.000 [2 per cell]
2 Ho 0.000 0.333 0.000 [4 per cell]
3 Pa 0.000 0.166 0.500 [4 per cell]
4 Pa 0.000 0.500 0.500 [2 per cell]
5 P 0.246 0.331 0.744 [8 per cell]
6 P 0.247 0.500 0.255 [4 per cell]

Summary:
The total moment is 0.00 Bohr magnetons per cell. For the density of states at the Fermi level, the calculation gives 19.36 states/eV/cell. The value obtained for the total energy is -0.2824 Ha/atom.